First-principles (GGA-PBE) data for a relaxed structure of SrYAs2O8, as listed in Alexandria via LeMat-Bulk.

Lattice parameters (Å, degrees): 6.9399 6.9399 6.9399 136.24 136.24 63.61
Closest atoms and distances in Å follow each position.
Fractional positions:
1 Sr 0.0000 0.0000 0.0000  8 O 2.53-2.58
2 Y 0.2500 0.7500 0.5000  8 O 2.39-2.46
3 As 0.5000 0.5000 0.0000  4 O 1.73
4 As 0.7500 0.2500 0.5000  4 O 1.73
5 O 0.2954 0.6670 0.1259  1 As 1.73
6 O 0.3330 0.4589 0.6284  1 As 1.73
7 O 0.4283 0.0290 0.1026  1 As 1.73
8 O 0.5411 0.1695 0.8741  1 As 1.73
9 O 0.6743 0.5717 0.6007  1 As 1.73
10 O 0.8305 0.7046 0.3716  1 As 1.73
11 O 0.9264 0.3257 0.8974  1 As 1.73
12 O 0.9710 0.0736 0.3993  1 As 1.73

VASP energy ... -6.78 eV/atom
M_tot ... 1.099 μB per formula unit
ΔE_f (raw) ... -2.02 eV/atom
Calculated volume ... 157.8 Å³ per cell


First-principles (GGA-PBE) data for a relaxed structure of AcEuLu, as listed in Alexandria via LeMat-Bulk.

Lattice parameters (Å, degrees): 5.9573 5.9573 3.6457 90.00 90.00 120.00
Closest atoms and distances in Å follow each position.
Fractional positions:
1 Ac 0.0000 0.0000 0.0000  2 Ac 3.65, 6 Eu 3.89-3.90, 6 Lu 3.89-3.90
2 Eu 0.3333 0.6667 0.4971  3 Lu 3.44, 2 Eu 3.65
3 Lu 0.6667 0.3333 0.5028  3 Eu 3.44, 2 Lu 3.65

VASP energy ... -6.18 eV/atom
DFT formation energy ... 0.118 eV per atom
M_tot ... 7.364 μB per formula unit
Calculated volume ... 112.0 Å³ per cell


First-principles (GGA-PBE) data for a relaxed structure of Tb4NiRh2, as listed in Alexandria via LeMat-Bulk.

Lattice parameters (Å, degrees): 8.4222 8.4222 8.4222 33.22 33.22 33.22
Closest atoms and distances in Å follow each position.
Fractional positions:
1 Tb 0.1246 0.1246 0.1246  4 Rh 2.96-3.02, 1 Ni 2.97
2 Tb 0.3752 0.3752 0.3752  4 Rh 2.94-2.96, 3 Ni 2.95
3 Tb 0.6248 0.6248 0.6248  4 Rh 2.94-2.96, 3 Ni 2.95
4 Tb 0.8754 0.8754 0.8754  4 Rh 2.96-3.02, 1 Ni 2.97
5 Ni 0.0000 0.0000 0.0000  8 Tb 2.95-2.97
6 Rh 0.2511 0.2511 0.2511  8 Tb 2.94-3.02
7 Rh 0.7489 0.7489 0.7489  8 Tb 2.94-3.02

VASP energy ... -6.19 eV/atom
DFT formation energy ... -0.614 eV per atom
M_tot ... 0.000 μB per formula unit
Calculated volume ... 159.6 Å³ per cell


First-principles (GGA-PBE) data for a relaxed structure of TlWAu, as listed in Alexandria via LeMat-Bulk.

Lattice parameters (Å, degrees): 7.1459 7.1459 7.1459 156.40 156.40 33.62
Closest atoms and distances in Å follow each position.
Fractional positions:
1 Tl 0.0000 0.0000 0.0000  4 Tl 2.92, 4 W 3.12
2 W 0.6711 0.6711 0.0000  4 Au 2.84, 4 W 2.92, 4 Tl 3.12
3 Au 0.3135 0.3135 0.0000  4 W 2.84, 4 Au 2.92

VASP energy ... -5.49 eV/atom
DFT formation energy ... 0.708 eV per atom
M_tot ... 0.000 μB per formula unit
Calculated volume ... 58.4 Å³ per cell


First-principles (GGA-PBE) data for a relaxed structure of ZnAs2Pb, as listed in Alexandria via LeMat-Bulk.

Lattice parameters (Å, degrees): 3.3283 3.3283 8.8530 90.00 90.00 112.90
Closest atoms and distances in Å follow each position.
Fractional positions:
1 Zn 0.0000 0.0000 0.0000  2 As 2.67
2 As 0.0000 0.0000 0.4298  2 As 2.62
3 As 0.5000 0.5000 0.2186  2 As 2.62, 2 Zn 2.67
4 Pb 0.5000 0.5000 0.7269  2 Zn 3.04, 2 As 3.21, 4 Pb 3.33

VASP energy ... -3.27 eV/atom
DFT formation energy ... 0.303 eV per atom
M_tot ... 0.000 μB per formula unit
Calculated volume ... 90.3 Å³ per cell


First-principles (GGA-PBE) data for a relaxed structure of NbCoP2Br, as listed in Alexandria via LeMat-Bulk.

Lattice parameters (Å, degrees): 4.3121 4.3121 4.7396 90.00 90.00 90.00
Closest atoms and distances in Å follow each position.
Fractional positions:
1 Nb 0.0000 0.0000 0.0000  4 Br 3.05, 8 P 3.20
2 Co 0.5000 0.5000 0.5000  4 P 2.16, 2 Br 2.37
3 P 0.0000 0.5000 0.5000  2 Co 2.16
4 P 0.5000 0.0000 0.5000  2 Co 2.16
5 Br 0.5000 0.5000 0.0000  2 Co 2.37

VASP energy ... -5.25 eV/atom
M_tot ... 0.000 μB per formula unit
ΔE_f (raw) ... 0.68 eV/atom
Calculated volume ... 88.1 Å³ per cell


First-principles (GGA-PBE) data for a relaxed structure of LaGdLu, as listed in Alexandria via LeMat-Bulk.

Lattice parameters (Å, degrees): 7.9374 7.9374 7.9374 153.54 153.54 37.76
Closest atoms and distances in Å follow each position.
Fractional positions:
1 La 0.0000 0.0000 0.0000  4 Lu 3.58, 4 La 3.63, 4 Gd 3.65
2 Gd 0.6727 0.6727 0.0000  4 Lu 3.53, 4 Gd 3.63, 4 La 3.65
3 Lu 0.3342 0.3342 0.0000  4 Gd 3.53, 4 La 3.58, 4 Lu 3.63

VASP energy ... -7.81 eV/atom
DFT formation energy ... 0.034 eV per atom
M_tot ... 7.371 μB per formula unit
Calculated volume ... 99.1 Å³ per cell


First-principles (GGA-PBE) data for a relaxed structure of ZnNi2Ir, as listed in Alexandria via LeMat-Bulk.

Lattice parameters (Å, degrees): 4.4309 2.6724 4.4691 90.00 107.71 90.00
Closest atoms and distances in Å follow each position.
Fractional positions:
1 Zn 0.0000 0.0000 0.0000  6 Ni 2.59-2.62, 4 Ir 2.60, 2 Zn 2.67
2 Ni 0.5000 0.0000 0.5000  4 Ir 2.59, 6 Ni 2.60-2.67, 2 Zn 2.62
3 Ni 0.5000 0.5000 0.0000  4 Zn 2.59, 6 Ni 2.60-2.67, 2 Ir 2.62
4 Ir 0.0000 0.5000 0.5000  6 Ni 2.59-2.62, 4 Zn 2.60, 2 Ir 2.67

VASP energy ... -5.48 eV/atom
DFT formation energy ... -0.053 eV per atom
M_tot ... 0.223 μB per formula unit
Calculated volume ... 50.4 Å³ per cell


First-principles (GGA-PBE) data for a relaxed structure of Dy2Tm2Al, as listed in Alexandria via LeMat-Bulk.

Lattice parameters (Å, degrees): 8.9333 8.9333 8.9333 31.98 31.98 31.98
Closest atoms and distances in Å follow each position.
Fractional positions:
1 Dy 0.0671 0.0671 0.0671  4 Tm 3.32-3.34, 1 Dy 3.41
2 Dy 0.9329 0.9329 0.9329  4 Tm 3.32-3.34, 1 Dy 3.41
3 Tm 0.1987 0.1987 0.1987  3 Al 2.96, 3 Tm 3.27
4 Tm 0.8013 0.8013 0.8013  3 Al 2.96, 3 Tm 3.27
5 Al 0.5000 0.5000 0.5000  6 Tm 2.96

VASP energy ... -3.90 eV/atom
DFT formation energy ... 0.483 eV per atom
M_tot ... 0.000 μB per formula unit
Calculated volume ... 177.6 Å³ per cell


First-principles (GGA-PBE) data for a relaxed structure of TiPtF3, as listed in Alexandria via LeMat-Bulk.

Lattice parameters (Å, degrees): 4.3576 4.3576 4.3576 90.00 90.00 90.00
Closest atoms and distances in Å follow each position.
Fractional positions:
1 Ti 0.0000 0.0000 0.0000  12 F 3.08
2 Pt 0.5000 0.5000 0.5000  6 F 2.18
3 F 0.0000 0.5000 0.5000  2 Pt 2.18
4 F 0.5000 0.0000 0.5000  2 Pt 2.18
5 F 0.5000 0.5000 0.0000  2 Pt 2.18

VASP energy ... -4.33 eV/atom
M_tot ... 0.329 μB per formula unit
ΔE_f (raw) ... -0.42 eV/atom
Calculated volume ... 82.7 Å³ per cell


First-principles (GGA-PBE) data for a relaxed structure of K2RbPm, as listed in Alexandria via LeMat-Bulk.

Lattice parameters (Å, degrees): 16.2748 16.2748 16.2748 14.18 14.18 14.18
Closest atoms and distances in Å follow each position.
Fractional positions:
1 K 0.0783 0.0783 0.0783  1 Pm 3.79, 6 K 4.02
2 K 0.9217 0.9217 0.9217  1 Pm 3.79, 6 K 4.02
3 Rb 0.5000 0.5000 0.5000  6 Rb 4.02
4 Pm 0.0000 0.0000 0.0000  2 K 3.79, 6 Pm 4.02

VASP energy ... -1.57 eV/atom
DFT formation energy ... 0.409 eV per atom
M_tot ... 0.001 μB per formula unit
Calculated volume ... 225.3 Å³ per cell


First-principles (GGA-PBE) data for a relaxed structure of Tl2FeSi, as listed in Alexandria via LeMat-Bulk.

Lattice parameters (Å, degrees): 3.2219 4.9507 5.4208 90.00 90.00 90.00
Closest atoms and distances in Å follow each position.
Fractional positions:
1 Tl 0.0000 0.0000 0.0000  4 Si 2.95, 6 Tl 3.15-3.22
2 Tl 0.5000 0.0000 0.5000  4 Fe 2.95, 6 Tl 3.15-3.22
3 Fe 0.0000 0.5000 0.5000  4 Tl 2.95, 4 Si 3.15, 2 Fe 3.22
4 Si 0.5000 0.5000 0.0000  4 Tl 2.95, 4 Fe 3.15, 2 Si 3.22

VASP energy ... -3.88 eV/atom
M_tot ... 3.011 μB per formula unit
ΔE_f (raw) ... 0.78 eV/atom
Calculated volume ... 86.5 Å³ per cell